Entry 1:
A geometry-optimized TlIn2Os structure. Source: Alexandria via LeMat-Bulk, functional PBE-GGA.

## Properties
Calculated density in g/cm³: 11.4
Spin magnetization in μB per formula unit: 0.00
N(E_F) in states/eV/f.u.: 3.28
Energy above the most stable polymorph in this dataset in meV per atom: 161
DFT formation energy in eV/atom: 0.521

a = 3.1859 Å, b = 3.1859 Å, c = 8.9377 Å
α = 90.00°, β = 90.00°, γ = 90.00°
Last column: nearest neighbours and their distance in Å.
Atoms (fractional coordinates):
Tl (0.0000, 0.0000, 0.0000)  4 Os 2.96, 4 Tl 3.19
In (0.0000, 0.0000, 0.6004)  4 Os 2.79
In (0.5000, 0.5000, 0.3106)  8 In 3.19-3.43
Os (0.5000, 0.5000, 0.7847)  4 In 2.79, 4 Tl 2.96

Entry 2:
A geometry-optimized U2ZnCl8 structure. Source: Alexandria via LeMat-Bulk, functional PBE-GGA.

## Properties
Raw formation energy in eV/atom: -1.37
Calculated density in g/cm³: 2.9
Spin magnetization in μB per formula unit: 4.00
N(E_F) in states/eV/f.u.: 2.50

a = 7.3590 Å, b = 7.3590 Å, c = 10.1844 Å
α = 91.01°, β = 91.01°, γ = 119.65°
Last column: nearest neighbours and their distance in Å.
Atoms (fractional coordinates):
U (0.0840, 0.0840, 0.1992)  5 Cl 2.50-2.79
U (0.9160, 0.9160, 0.8008)  5 Cl 2.50-2.79
Zn (0.0000, 0.0000, 0.5000)  2 U 3.15, 6 Cl 3.37-3.44
Cl (0.1795, 0.8102, 0.7372)  1 U 2.51
Cl (0.1898, 0.8205, 0.2628)  1 U 2.51
Cl (0.2279, 0.2279, 0.9636)  2 U 2.66-2.79
Cl (0.3846, 0.3846, 0.3203)  1 U 2.50
Cl (0.6154, 0.6154, 0.6797)  1 U 2.50
Cl (0.7721, 0.7721, 0.0364)  2 U 2.66-2.79
Cl (0.8102, 0.1795, 0.7372)  1 U 2.51
Cl (0.8205, 0.1898, 0.2628)  1 U 2.51

Entry 3:
A geometry-optimized Cs2HfZrRu structure. Source: Alexandria via LeMat-Bulk, functional PBE-GGA.

## Properties
Calculated density in g/cm³: 6.2
Spin magnetization in μB per formula unit: 1.79
N(E_F) in states/eV/f.u.: 6.47
DFT formation energy in eV/atom: 1.704

a = 5.7520 Å, b = 5.7520 Å, c = 5.1695 Å
α = 90.00°, β = 90.00°, γ = 90.00°
Last column: nearest neighbours and their distance in Å.
Atoms (fractional coordinates):
Cs (0.0000, 0.5000, 0.0000)  2 Ru 2.88
Cs (0.5000, 0.0000, 0.0000)  2 Ru 2.88
Hf (0.0000, 0.0000, 0.5000)  8 Cs 3.87, 4 Zr 4.07
Zr (0.5000, 0.5000, 0.5000)  2 Ru 2.58
Ru (0.5000, 0.5000, 0.0000)  2 Zr 2.58, 4 Cs 2.88

Entry 4:
A geometry-optimized BeNbFe2 structure. Source: Alexandria via LeMat-Bulk, functional PBE-GGA.

## Properties
Calculated density in g/cm³: 7.5
Spin magnetization in μB per formula unit: 0.49
N(E_F) in states/eV/f.u.: 3.71
DFT formation energy in eV/atom: -0.055

a = 2.9582 Å, b = 2.9582 Å, c = 5.4118 Å
α = 90.00°, β = 90.00°, γ = 90.00°
Last column: nearest neighbours and their distance in Å.
Atoms (fractional coordinates):
Be (0.0000, 0.0000, 0.0000)  8 Fe 2.40
Nb (0.0000, 0.0000, 0.5000)  8 Fe 2.59, 2 Be 2.71
Fe (0.5000, 0.5000, 0.2187)  1 Fe 2.37, 4 Be 2.40, 4 Nb 2.59
Fe (0.5000, 0.5000, 0.7813)  1 Fe 2.37, 4 Be 2.40, 4 Nb 2.59

Copy entry 4 word for word.
A geometry-optimized BeNbFe2 structure. Source: Alexandria via LeMat-Bulk, functional PBE-GGA.

## Properties
Calculated density in g/cm³: 7.5
Spin magnetization in μB per formula unit: 0.49
N(E_F) in states/eV/f.u.: 3.71
DFT formation energy in eV/atom: -0.055

a = 2.9582 Å, b = 2.9582 Å, c = 5.4118 Å
α = 90.00°, β = 90.00°, γ = 90.00°
Last column: nearest neighbours and their distance in Å.
Atoms (fractional coordinates):
Be (0.0000, 0.0000, 0.0000)  8 Fe 2.40
Nb (0.0000, 0.0000, 0.5000)  8 Fe 2.59, 2 Be 2.71
Fe (0.5000, 0.5000, 0.2187)  1 Fe 2.37, 4 Be 2.40, 4 Nb 2.59
Fe (0.5000, 0.5000, 0.7813)  1 Fe 2.37, 4 Be 2.40, 4 Nb 2.59

What did the second record say?
A geometry-optimized U2ZnCl8 structure. Source: Alexandria via LeMat-Bulk, functional PBE-GGA.

## Properties
Raw formation energy in eV/atom: -1.37
Calculated density in g/cm³: 2.9
Spin magnetization in μB per formula unit: 4.00
N(E_F) in states/eV/f.u.: 2.50

a = 7.3590 Å, b = 7.3590 Å, c = 10.1844 Å
α = 91.01°, β = 91.01°, γ = 119.65°
Last column: nearest neighbours and their distance in Å.
Atoms (fractional coordinates):
U (0.0840, 0.0840, 0.1992)  5 Cl 2.50-2.79
U (0.9160, 0.9160, 0.8008)  5 Cl 2.50-2.79
Zn (0.0000, 0.0000, 0.5000)  2 U 3.15, 6 Cl 3.37-3.44
Cl (0.1795, 0.8102, 0.7372)  1 U 2.51
Cl (0.1898, 0.8205, 0.2628)  1 U 2.51
Cl (0.2279, 0.2279, 0.9636)  2 U 2.66-2.79
Cl (0.3846, 0.3846, 0.3203)  1 U 2.50
Cl (0.6154, 0.6154, 0.6797)  1 U 2.50
Cl (0.7721, 0.7721, 0.0364)  2 U 2.66-2.79
Cl (0.8102, 0.1795, 0.7372)  1 U 2.51
Cl (0.8205, 0.1898, 0.2628)  1 U 2.51